Computed, not measured: a relaxed PaInCoNi crystal at the PBE level of DFT.

Structure (CIF):
```
data_PaInCoNi
_chemical_formula_sum 'Pa4 In4 Co4 Ni4'
_cell_length_a 6.527
_cell_length_b 6.527
_cell_length_c 6.527
_cell_angle_alpha 90.00
_cell_angle_beta 90.00
_cell_angle_gamma 90.00
_space_group_name_H-M_alt 'F -4 3 m'
_space_group_IT_number 216
_space_group_name_Hall 'F -4 2 3'
loop_
_atom_site_label
_atom_site_type_symbol
_atom_site_fract_x
_atom_site_fract_y
_atom_site_fract_z
Pa1 Pa 0.000 0.000 0.000
In1 In 0.000 0.000 0.500
Co1 Co 0.250 0.250 0.750
Ni1 Ni 0.250 0.250 0.250
```

=====

Computed, not measured: a relaxed PmInCoNi crystal at the PBE level of DFT.

Structure (CIF):
```
data_PmInCoNi
_chemical_formula_sum 'Pm4 In4 Co4 Ni4'
_cell_length_a 6.594
_cell_length_b 6.594
_cell_length_c 6.594
_cell_angle_alpha 90.00
_cell_angle_beta 90.00
_cell_angle_gamma 90.00
_space_group_name_H-M_alt 'F -4 3 m'
_space_group_IT_number 216
_space_group_name_Hall 'F -4 2 3'
loop_
_atom_site_label
_atom_site_type_symbol
_atom_site_fract_x
_atom_site_fract_y
_atom_site_fract_z
Pm1 Pm 0.000 0.000 0.000
In1 In 0.000 0.000 0.500
Co1 Co 0.250 0.250 0.250
Ni1 Ni 0.250 0.250 0.750
```

=====

Computed, not measured: a relaxed PuInCoNi crystal at the PBE level of DFT.

Structure (CIF):
```
data_PuInCoNi
_chemical_formula_sum 'Pu4 In4 Co4 Ni4'
_cell_length_a 6.509
_cell_length_b 6.509
_cell_length_c 6.509
_cell_angle_alpha 90.00
_cell_angle_beta 90.00
_cell_angle_gamma 90.00
_space_group_name_H-M_alt 'F -4 3 m'
_space_group_IT_number 216
_space_group_name_Hall 'F -4 2 3'
loop_
_atom_site_label
_atom_site_type_symbol
_atom_site_fract_x
_atom_site_fract_y
_atom_site_fract_z
Pu1 Pu 0.000 0.000 0.000
In1 In 0.000 0.000 0.500
Co1 Co 0.250 0.250 0.250
Ni1 Ni 0.250 0.250 0.750
```

=====

Computed, not measured: a relaxed In2CoNiRh crystal at the PBE level of DFT.

Structure (CIF):
```
data_In2CoNiRh
_chemical_formula_sum 'In2 Co1 Ni1 Rh1'
_cell_length_a 4.751
_cell_length_b 4.751
_cell_length_c 4.543
_cell_angle_alpha 90.00
_cell_angle_beta 90.00
_cell_angle_gamma 90.00
_space_group_name_H-M_alt 'P 4/m m m'
_space_group_IT_number 123
_space_group_name_Hall '-P 4 2'
loop_
_atom_site_label
_atom_site_type_symbol
_atom_site_fract_x
_atom_site_fract_y
_atom_site_fract_z
In1 In 0.000 0.500 0.000
Co1 Co 0.000 0.000 0.500
Ni1 Ni 0.500 0.500 0.000
Rh1 Rh 0.500 0.500 0.500
```

=====

Computed, not measured: a relaxed ScInCoNi crystal at the PBE level of DFT.

Structure (CIF):
```
data_ScInCoNi
_chemical_formula_sum 'Sc4 In4 Co4 Ni4'
_cell_length_a 6.266
_cell_length_b 6.266
_cell_length_c 6.266
_cell_angle_alpha 90.00
_cell_angle_beta 90.00
_cell_angle_gamma 90.00
_space_group_name_H-M_alt 'F -4 3 m'
_space_group_IT_number 216
_space_group_name_Hall 'F -4 2 3'
loop_
_atom_site_label
_atom_site_type_symbol
_atom_site_fract_x
_atom_site_fract_y
_atom_site_fract_z
Sc1 Sc 0.000 0.000 0.000
In1 In 0.000 0.000 0.500
Co1 Co 0.250 0.250 0.750
Ni1 Ni 0.250 0.250 0.250
```

=====

Computed, not measured: a relaxed Sc5In2Co2Ni crystal at the PBE level of DFT.

Structure (CIF):
```
data_Sc5In2Co2Ni
_chemical_formula_sum 'Sc10 In4 Co4 Ni2'
_cell_length_a 10.740
_cell_length_b 10.740
_cell_length_c 3.263
_cell_angle_alpha 90.00
_cell_angle_beta 90.00
_cell_angle_gamma 90.00
_space_group_name_H-M_alt 'P 4/m b m'
_space_group_IT_number 127
_space_group_name_Hall '-P 4 2ab'
loop_
_atom_site_label
_atom_site_type_symbol
_atom_site_fract_x
_atom_site_fract_y
_atom_site_fract_z
Sc1 Sc 0.000 0.500 0.000
Sc2 Sc 0.070 0.199 0.000
In1 In 0.174 0.674 0.500
Co1 Co 0.134 0.366 0.500
Ni1 Ni 0.000 0.000 0.500
```

=====

Computed, not measured: a relaxed Sc5In2CoNi2 crystal at the PBE level of DFT.

Structure (CIF):
```
data_Sc5In2CoNi2
_chemical_formula_sum 'Sc10 In4 Co2 Ni4'
_cell_length_a 10.870
_cell_length_b 10.870
_cell_length_c 3.199
_cell_angle_alpha 90.00
_cell_angle_beta 90.00
_cell_angle_gamma 90.00
_space_group_name_H-M_alt 'P 4/m b m'
_space_group_IT_number 127
_space_group_name_Hall '-P 4 2ab'
loop_
_atom_site_label
_atom_site_type_symbol
_atom_site_fract_x
_atom_site_fract_y
_atom_site_fract_z
Sc1 Sc 0.000 0.500 0.000
Sc2 Sc 0.063 0.193 0.000
In1 In 0.176 0.676 0.500
Co1 Co 0.000 0.000 0.500
Ni1 Ni 0.133 0.367 0.500
```

=====

Computed, not measured: a relaxed InCoNiSn crystal at the PBE level of DFT.

Structure (CIF):
```
data_InCoNiSn
_chemical_formula_sum 'In4 Co4 Ni4 Sn4'
_cell_length_a 6.298
_cell_length_b 6.298
_cell_length_c 6.298
_cell_angle_alpha 90.00
_cell_angle_beta 90.00
_cell_angle_gamma 90.00
_space_group_name_H-M_alt 'F -4 3 m'
_space_group_IT_number 216
_space_group_name_Hall 'F -4 2 3'
loop_
_atom_site_label
_atom_site_type_symbol
_atom_site_fract_x
_atom_site_fract_y
_atom_site_fract_z
In1 In 0.000 0.000 0.000
Co1 Co 0.250 0.250 0.250
Ni1 Ni 0.250 0.250 0.750
Sn1 Sn 0.000 0.000 0.500
```

=====

no.,calculated formation energy (eV/f.u.),energy (eV/atom)
1,-0.84,-6.49
2,-0.54,-5.23
3,-0.17,-7.53
4,4.27,-4.29
5,-1.31,-5.82
6,-3.82,-6.09
7,-4.13,-5.99
8,0.21,-4.85